(1)
Crystalline Sm12V3H5 at its relaxed geometry. Source: Alexandria via LeMat-Bulk, functional PBE.

Results
Calculated volume = 24.14 Å³ per atom
VASP energy = -4.991 eV/atom

CIF file:
```
data_Sm12V3H5
_symmetry_space_group_name_H-M 'P 1'
_symmetry_Int_Tables_number 1
_cell_length_a 13.589
_cell_length_b 13.589
_cell_length_c 13.589
_cell_angle_alpha 109.47
_cell_angle_beta 109.47
_cell_angle_gamma 109.47
loop_
_symmetry_equiv_pos_as_xyz
'x,y,z'
loop_
_atom_site_label
_atom_site_type_symbol
_atom_site_fract_x
_atom_site_fract_y
_atom_site_fract_z
H1 H 0.125 0.375 0.250
H2 H 0.000 0.500 0.000
H3 H 0.000 0.000 0.000
H4 H 0.375 0.250 0.125
H5 H 0.500 0.000 0.500
H6 H 0.500 0.500 0.000
H7 H 0.125 0.750 0.375
H8 H 0.750 0.125 0.875
H9 H 0.750 0.625 0.375
H10 H 0.375 0.125 0.750
H11 H 0.625 0.875 0.250
H12 H 0.500 0.500 0.500
H13 H 0.500 0.000 0.000
H14 H 0.000 0.000 0.500
H15 H 0.250 0.375 0.625
H16 H 0.250 0.875 0.125
H17 H 0.000 0.500 0.500
H18 H 0.875 0.250 0.625
H19 H 0.625 0.750 0.875
H20 H 0.875 0.625 0.750
Sm1 Sm 0.710 0.115 0.020
Sm2 Sm 0.310 0.520 0.405
Sm3 Sm 0.980 0.385 0.290
Sm4 Sm 0.520 0.210 0.115
Sm5 Sm 0.594 0.710 0.690
Sm6 Sm 0.980 0.595 0.190
Sm7 Sm 0.310 0.790 0.406
Sm8 Sm 0.095 0.906 0.115
Sm9 Sm 0.595 0.980 0.690
Sm10 Sm 0.710 0.594 0.190
Sm11 Sm 0.790 0.480 0.385
Sm12 Sm 0.810 0.905 0.020
Sm13 Sm 0.115 0.710 0.520
Sm14 Sm 0.385 0.405 0.094
Sm15 Sm 0.094 0.905 0.385
Sm16 Sm 0.406 0.115 0.595
Sm17 Sm 0.094 0.190 0.210
Sm18 Sm 0.480 0.690 0.095
Sm19 Sm 0.810 0.906 0.290
Sm20 Sm 0.115 0.406 0.095
Sm21 Sm 0.385 0.980 0.790
Sm22 Sm 0.595 0.615 0.406
Sm23 Sm 0.905 0.810 0.520
Sm24 Sm 0.790 0.310 0.906
Sm25 Sm 0.405 0.385 0.594
Sm26 Sm 0.095 0.190 0.480
Sm27 Sm 0.210 0.690 0.094
Sm28 Sm 0.190 0.094 0.710
Sm29 Sm 0.615 0.020 0.210
Sm30 Sm 0.885 0.594 0.905
Sm31 Sm 0.520 0.310 0.905
Sm32 Sm 0.594 0.885 0.405
Sm33 Sm 0.906 0.810 0.790
Sm34 Sm 0.906 0.095 0.615
Sm35 Sm 0.885 0.290 0.480
Sm36 Sm 0.190 0.095 0.980
Sm37 Sm 0.615 0.595 0.906
Sm38 Sm 0.405 0.020 0.310
Sm39 Sm 0.290 0.406 0.810
Sm40 Sm 0.210 0.520 0.615
Sm41 Sm 0.905 0.094 0.885
Sm42 Sm 0.690 0.210 0.594
Sm43 Sm 0.480 0.790 0.885
Sm44 Sm 0.020 0.405 0.810
Sm45 Sm 0.406 0.290 0.310
Sm46 Sm 0.020 0.615 0.710
Sm47 Sm 0.690 0.480 0.595
Sm48 Sm 0.290 0.885 0.980
V1 V 0.750 0.375 0.125
V2 V 0.875 0.750 0.125
V3 V 0.375 0.750 0.625
V4 V 0.250 0.125 0.375
V5 V 0.875 0.125 0.250
V6 V 0.375 0.625 0.250
V7 V 0.625 0.375 0.750
V8 V 0.125 0.875 0.750
V9 V 0.750 0.875 0.625
V10 V 0.625 0.250 0.375
V11 V 0.125 0.250 0.875
V12 V 0.250 0.625 0.875
```

***

(2)
Crystalline BaMgCo2 at its relaxed geometry. Source: Alexandria via LeMat-Bulk, functional PBE.

Results
Calculated formation energy = 0.561 eV/atom
Calculated volume = 25.64 Å³ per atom

CIF file:
```
data_BaMgCo2
_symmetry_space_group_name_H-M 'P 1'
_symmetry_Int_Tables_number 1
_cell_length_a 4.769
_cell_length_b 4.769
_cell_length_c 9.630
_cell_angle_alpha 75.66
_cell_angle_beta 75.66
_cell_angle_gamma 90.00
loop_
_symmetry_equiv_pos_as_xyz
'x,y,z'
loop_
_atom_site_label
_atom_site_type_symbol
_atom_site_fract_x
_atom_site_fract_y
_atom_site_fract_z
Mg1 Mg 0.500 0.500 0.000
Mg2 Mg 0.250 0.750 0.500
Co1 Co 0.375 0.125 0.250
Co2 Co 0.375 0.625 0.250
Co3 Co 0.375 0.625 0.750
Co4 Co 0.875 0.625 0.750
Ba1 Ba 0.000 0.000 0.000
Ba2 Ba 0.750 0.250 0.500
```

***

(3)
Crystalline AcNdDy6 at its relaxed geometry. Source: Alexandria via LeMat-Bulk, functional PBE.

Results
Calculated formation energy = 0.398 eV/atom
Calculated volume = 37.09 Å³ per atom
Offset from the most stable computed form = 34.5 kJ/mol of atoms

CIF file:
```
data_AcNdDy6
_symmetry_space_group_name_H-M 'P 1'
_symmetry_Int_Tables_number 1
_cell_length_a 6.001
_cell_length_b 6.001
_cell_length_c 8.924
_cell_angle_alpha 79.63
_cell_angle_beta 79.63
_cell_angle_gamma 71.24
loop_
_symmetry_equiv_pos_as_xyz
'x,y,z'
loop_
_atom_site_label
_atom_site_type_symbol
_atom_site_fract_x
_atom_site_fract_y
_atom_site_fract_z
Ac1 Ac 0.000 0.000 0.000
Nd1 Nd 0.500 0.500 0.500
Dy1 Dy 0.479 0.956 0.701
Dy2 Dy 0.956 0.479 0.701
Dy3 Dy 0.044 0.521 0.299
Dy4 Dy 0.521 0.044 0.299
Dy5 Dy 0.623 0.623 0.081
Dy6 Dy 0.377 0.377 0.919
```

***

(4)
Crystalline MgPb3 at its relaxed geometry. Source: Alexandria via LeMat-Bulk, functional PBE.

Results
Calculated formation energy = 0.520 eV/atom
Calculated volume = 43.47 Å³ per atom

CIF file:
```
data_MgPb3
_symmetry_space_group_name_H-M 'P 1'
_symmetry_Int_Tables_number 1
_cell_length_a 5.581
_cell_length_b 5.581
_cell_length_c 5.581
_cell_angle_alpha 90.00
_cell_angle_beta 90.00
_cell_angle_gamma 90.00
loop_
_symmetry_equiv_pos_as_xyz
'x,y,z'
loop_
_atom_site_label
_atom_site_type_symbol
_atom_site_fract_x
_atom_site_fract_y
_atom_site_fract_z
Mg1 Mg 0.000 0.000 0.000
Pb1 Pb 0.000 0.000 0.500
Pb2 Pb 0.000 0.500 0.000
Pb3 Pb 0.500 0.000 0.000
```

***

(5)
Crystalline AcTl2PO8 at its relaxed geometry. Source: Alexandria via LeMat-Bulk, functional PBE.

Results
Calculated volume = 13.55 Å³ per atom
Formation energy without anion corrections = -1266 meV/atom

CIF file:
```
data_AcTl2PO8
_symmetry_space_group_name_H-M 'P 1'
_symmetry_Int_Tables_number 1
_cell_length_a 5.353
_cell_length_b 5.353
_cell_length_c 6.551
_cell_angle_alpha 90.00
_cell_angle_beta 90.00
_cell_angle_gamma 120.00
loop_
_symmetry_equiv_pos_as_xyz
'x,y,z'
loop_
_atom_site_label
_atom_site_type_symbol
_atom_site_fract_x
_atom_site_fract_y
_atom_site_fract_z
Ac1 Ac 0.000 0.000 0.500
Tl1 Tl 0.667 0.333 0.103
Tl2 Tl 0.333 0.667 0.897
P1 P 0.000 0.000 0.000
O1 O 0.850 0.700 0.848
O2 O 0.300 0.150 0.848
O3 O 0.850 0.150 0.848
O4 O 0.150 0.300 0.152
O5 O 0.700 0.850 0.152
O6 O 0.150 0.850 0.152
O7 O 0.667 0.333 0.422
O8 O 0.333 0.667 0.578
```

***

(6)
Crystalline Nd4Rh6O19 at its relaxed geometry. Source: Alexandria via LeMat-Bulk, functional PBE.

Results
Calculated volume = 12.24 Å³ per atom
Formation energy without anion corrections = -1618 meV/atom

CIF file:
```
data_Nd4Rh6O19
_symmetry_space_group_name_H-M 'P 1'
_symmetry_Int_Tables_number 1
_cell_length_a 7.725
_cell_length_b 7.725
_cell_length_c 7.725
_cell_angle_alpha 109.47
_cell_angle_beta 109.47
_cell_angle_gamma 109.47
loop_
_symmetry_equiv_pos_as_xyz
'x,y,z'
loop_
_atom_site_label
_atom_site_type_symbol
_atom_site_fract_x
_atom_site_fract_y
_atom_site_fract_z
Nd1 Nd 0.000 0.000 0.677
Nd2 Nd 0.000 0.677 0.000
Nd3 Nd 0.323 0.323 0.323
Nd4 Nd 0.677 0.000 0.000
Rh1 Rh 0.336 0.500 0.836
Rh2 Rh 0.664 0.500 0.164
Rh3 Rh 0.164 0.664 0.500
Rh4 Rh 0.836 0.336 0.500
Rh5 Rh 0.500 0.836 0.336
Rh6 Rh 0.500 0.164 0.664
O1 O 0.653 0.000 0.653
O2 O 0.347 0.000 0.347
O3 O 0.347 0.347 0.000
O4 O 0.653 0.653 0.000
O5 O 0.000 0.653 0.653
O6 O 0.000 0.347 0.347
O7 O 0.000 0.000 0.000
O8 O 0.271 0.240 0.597
O9 O 0.729 0.326 0.969
O10 O 0.643 0.674 0.403
O11 O 0.969 0.729 0.326
O12 O 0.357 0.760 0.031
O13 O 0.597 0.271 0.240
O14 O 0.031 0.357 0.760
O15 O 0.403 0.643 0.674
O16 O 0.760 0.031 0.357
O17 O 0.326 0.969 0.729
O18 O 0.240 0.597 0.271
O19 O 0.674 0.403 0.643
```